An optimized crystal structure of NdSm8In6, computed with PBE.

Unit cell a=9.209 b=9.209 c=8.465 alpha=57.05 beta=57.05 gamma=60.00
Atoms (fractional coordinates):
Nd 0.000 0.000 0.000
Sm 0.553 0.218 0.344
Sm 0.782 0.115 0.656
Sm 0.115 0.447 0.656
Sm 0.667 0.667 0.998
Sm 0.333 0.333 0.002
Sm 0.885 0.553 0.344
Sm 0.218 0.885 0.344
Sm 0.447 0.782 0.656
In 0.392 0.056 0.832
In 0.944 0.280 0.168
In 0.280 0.608 0.168
In 0.720 0.392 0.832
In 0.056 0.720 0.832
In 0.608 0.944 0.168

## Properties
The value obtained for the magnetization is 0.00 μB per cell. The total DFT energy (no corrections) is -4.164 eV per atom. As for the density of states at the Fermi level: 23.3 states/eV/cell.

***

An optimized crystal structure of Mg2MnFe, computed with PBE.

Unit cell a=4.484 b=4.484 c=4.484 alpha=60.00 beta=60.00 gamma=60.00
Site moments in Bohr magnetons follow the coordinates.
Atoms (fractional coordinates):
Fe 0.500 0.500 0.500  2.32
Mg 0.000 0.000 0.000  -0.04
Mg 0.250 0.250 0.250  -0.04
Mn 0.750 0.750 0.750  3.28

## Properties
The value obtained for the magnetization is 5.48 μB per cell. As for the density of states at the Fermi level: 7.4 states/eV/cell. Its energy above the most stable polymorph in this dataset is 0.167 eV/atom.

***

An optimized crystal structure of CoMoSe, computed with PBE.

Unit cell a=5.085 b=5.085 c=3.042 alpha=72.60 beta=72.59 gamma=34.81
Site moments in Bohr magnetons follow the coordinates.
Atoms (fractional coordinates):
Co 0.004 0.004 0.996  1.00
Mo 0.331 0.331 0.669  -0.14
Se 0.665 0.665 0.335  0.03

## Properties
The value obtained for the magnetization is 0.85 μB per cell. The raw formation energy comes out at 0.51 eV/f.u. As for the density of states at the Fermi level: 1.7 states/eV/cell. Its energy above the most stable polymorph in this dataset is 0.004 eV/atom.

***

An optimized crystal structure of CuNi3H2, computed with PBE.

Unit cell a=2.561 b=6.228 c=6.496 alpha=77.76 beta=101.37 gamma=90.00
Atoms (fractional coordinates):
Cu 0.338 0.961 0.676
Cu 0.662 0.039 0.324
Ni 0.219 0.684 0.437
Ni 0.099 0.401 0.198
Ni 0.460 0.232 0.920
Ni 0.781 0.316 0.563
Ni 0.540 0.768 0.080
Ni 0.901 0.599 0.802
H 0.341 0.460 0.683
H 0.659 0.540 0.317
H 0.046 0.170 0.093
H 0.954 0.830 0.907

## Properties
The value obtained for the magnetization is 0.00 μB per cell. The total DFT energy (no corrections) is -4.678 eV per atom. As for the density of states at the Fermi level: 8.6 states/eV/cell.

***

An optimized crystal structure of KRb2U2Te5, computed with PBE.

Unit cell a=4.035 b=13.853 c=13.853 alpha=90.00 beta=90.00 gamma=90.00
Site moments in Bohr magnetons follow the coordinates.
Atoms (fractional coordinates):
K 0.000 0.000 0.000  0.00
K 0.000 0.500 0.500  0.00
Rb 0.000 0.680 0.180  0.01
Rb 0.000 0.320 0.820  0.01
Rb 0.000 0.180 0.320  0.01
Rb 0.000 0.820 0.680  0.01
U 0.000 0.122 0.622  2.48
U 0.000 0.878 0.378  2.48
U 0.000 0.622 0.878  2.48
U 0.000 0.378 0.122  2.48
Te 0.500 0.218 0.073  -0.07
Te 0.500 0.782 0.927  -0.07
Te 0.500 0.073 0.782  -0.07
Te 0.500 0.718 0.427  -0.07
Te 0.500 0.927 0.218  -0.07
Te 0.500 0.282 0.573  -0.07
Te 0.500 0.573 0.718  -0.07
Te 0.500 0.427 0.282  -0.07
Te 0.500 0.500 0.000  -0.06
Te 0.500 0.000 0.500  -0.06

## Properties
The value obtained for the magnetization is 9.94 μB per cell. The raw formation energy comes out at -7.98 eV/f.u. As for the density of states at the Fermi level: 18.9 states/eV/cell.

***

An optimized crystal structure of Pd2PtBr, computed with PBE.

Unit cell a=4.587 b=4.587 c=4.587 alpha=60.00 beta=60.00 gamma=60.00
Atoms (fractional coordinates):
Br 0.000 0.000 0.000
Pd 0.250 0.250 0.250
Pd 0.750 0.750 0.750
Pt 0.500 0.500 0.500

## Properties
The value obtained for the magnetization is 0.00 μB per cell. The raw formation energy comes out at 1.65 eV/f.u. As for the density of states at the Fermi level: 5.0 states/eV/cell. Its energy above the most stable polymorph in this dataset is 0.011 eV/atom.